Entry 1:
DFT (GGA-PBE) results for RbTcPt after structural relaxation.

Lattice parameters (Å, degrees): 4.1996 4.1996 11.7433 90.00 90.00 120.00
Closest atoms and distances in Å follow each position.
Atoms (fractional coordinates):
Rb1 0.0000 0.0000 0.0000  6 Pt 3.81, 6 Tc 3.81, 6 Rb 4.20
Rb2 0.0000 0.0000 0.5000  6 Tc 3.81, 6 Pt 3.81, 6 Rb 4.20
Tc1 0.3333 0.6667 0.2500  3 Pt 2.42
Tc2 0.6667 0.3333 0.7500  3 Pt 2.42
Pt1 0.3333 0.6667 0.7500  3 Tc 2.42
Pt2 0.6667 0.3333 0.2500  3 Tc 2.42

E above lowest polymorph   0.598 eV/atom
Total magnetization   0.41 μB/f.u.
Volume   29.89 Å³ per atom
Total energy   -0.1848 hartree per atom
N(E_F)   0.895 states/eV per atom

=====

Entry 2:
DFT (GGA-PBE) results for RbTcPt after structural relaxation.

Lattice parameters (Å, degrees): 4.1455 4.6497 9.2085 86.13 89.87 89.99
Closest atoms and distances in Å follow each position.
Atoms (fractional coordinates):
Rb1 0.0000 0.0000 0.0000  2 Pt 3.61, 5 Tc 3.62-3.77
Rb2 0.4963 0.5399 0.6643  5 Pt 3.49-3.63, 2 Tc 3.62
Tc1 0.4989 0.4482 0.2177  2 Tc 2.44-2.45, 2 Pt 2.45-2.58
Tc2 0.9982 0.5668 0.3411  2 Tc 2.44-2.45, 3 Pt 2.48-2.73
Pt1 0.4982 0.9496 0.3219  4 Tc 2.45-2.73, 2 Pt 2.62
Pt2 0.9974 0.0877 0.4774  1 Tc 2.48, 2 Pt 2.62

E above lowest polymorph   0.224 eV/atom
Total magnetization   0.00 μB/f.u.
Volume   29.52 Å³ per atom
Total energy   -0.1985 hartree per atom
N(E_F)   0.811 states/eV per atom